# 1
LaRe3: PBEsol geometry, SCAN.

a = 3.0572 Å, b = 3.0572 Å, c = 7.7297 Å
α = 90.00°, β = 90.00°, γ = 90.00°
Fractional coordinates of all 4 atoms:
La 0.0000 0.0000 0.0000
Re 0.5000 0.5000 0.3048
Re 0.5000 0.5000 0.6952
Re 0.0000 0.0000 0.5000

Calculated values
**Space-group type**: P4/mmm (123)
**ΔH_f (0 K)**: 1.50 eV per formula unit
**ΔE to the lowest computed polymorph**: 0.000 eV/atom



# 2
LaRe3: PBEsol geometry, SCAN.

a = 2.8229 Å, b = 2.8229 Å, c = 10.1174 Å
α = 81.98°, β = 81.98°, γ = 60.00°
Fractional coordinates of all 4 atoms:
Re 0.5000 0.5000 0.5000
La 0.0000 0.0000 0.0000
Re 0.7617 0.7617 0.7149
Re 0.2383 0.2383 0.2851

Calculated values
**Space-group type**: R-3m (166)
**ΔH_f (0 K)**: 2.24 eV per formula unit
**ΔE to the lowest computed polymorph**: 0.185 eV/atom



# 3
LaRe3: PBEsol geometry, SCAN.

a = 4.7847 Å, b = 4.7847 Å, c = 4.7847 Å
α = 90.00°, β = 90.00°, γ = 90.00°
Last column: magnetic moment on the atom in μB.
Fractional coordinates of all 4 atoms:
Re 0.0000 0.5000 0.0000  0.83
Re 0.5000 0.0000 0.0000  0.83
Re 0.0000 0.0000 0.5000  0.83
La 0.0000 0.0000 0.0000  0.02

Calculated values
**Space-group type**: Pm-3m (221)
**ΔH_f (0 K)**: 17.45 eV per formula unit
**ΔE to the lowest computed polymorph**: 3.988 eV/atom



# 4
LaRe3: PBEsol geometry, SCAN.

a = 3.1285 Å, b = 4.7224 Å, c = 4.7224 Å
α = 90.00°, β = 90.00°, γ = 90.00°
Fractional coordinates of all 4 atoms:
Re 0.5000 0.5000 0.0000
Re 0.5000 0.0000 0.5000
La 0.0000 0.0000 0.0000
Re 0.0000 0.5000 0.5000

Calculated values
**Space-group type**: P4/mmm (123)
**ΔH_f (0 K)**: 3.49 eV per formula unit
**ΔE to the lowest computed polymorph**: 0.499 eV/atom



# 5
LaRe2: PBEsol geometry, SCAN.

a = 3.5839 Å, b = 3.5839 Å, c = 5.2401 Å
α = 90.00°, β = 90.00°, γ = 90.00°
Fractional coordinates of all 3 atoms:
Re 0.5000 0.0000 0.5000
Re 0.0000 0.5000 0.5000
La 0.0000 0.0000 0.0000

Calculated values
**Space-group type**: P4/mmm (123)
**ΔH_f (0 K)**: 1.30 eV per formula unit



# 6
LaReRh2: PBEsol geometry, SCAN.

a = 2.8301 Å, b = 2.8301 Å, c = 9.6870 Å
α = 81.60°, β = 81.60°, γ = 60.00°
Fractional coordinates of all 4 atoms:
Rh 0.7398 0.7398 0.7805
La 0.5000 0.5000 0.5000
Re 0.0000 0.0000 0.0000
Rh 0.2602 0.2602 0.2195

Calculated values
**Space-group type**: R-3m (166)
**ΔH_f (0 K)**: 1.18 eV per formula unit
**ΔE to the lowest computed polymorph**: 0.355 eV/atom



# 7
LaRe2Rh: PBEsol geometry, SCAN.

a = 3.1187 Å, b = 4.6832 Å, c = 4.6832 Å
α = 90.00°, β = 90.00°, γ = 90.00°
Fractional coordinates of all 4 atoms:
Re 0.0000 0.5000 0.0000
Rh 0.5000 0.5000 0.5000
La 0.5000 0.0000 0.0000
Re 0.0000 0.0000 0.5000

Calculated values
**Space-group type**: P4/mmm (123)
**ΔH_f (0 K)**: 3.80 eV per formula unit
**ΔE to the lowest computed polymorph**: 0.638 eV/atom



# 8
LaRe3Rh: PBEsol geometry, SCAN.

a = 4.6522 Å, b = 4.6522 Å, c = 4.6522 Å
α = 90.00°, β = 90.00°, γ = 90.00°
Fractional coordinates of all 5 atoms:
Re 0.5000 0.0000 0.0000
Rh 0.5000 0.5000 0.5000
Re 0.0000 0.0000 0.5000
Re 0.0000 0.5000 0.0000
La 0.0000 0.0000 0.0000

Calculated values
**Space-group type**: Pm-3m (221)
**ΔH_f (0 K)**: 16.65 eV per formula unit



# 9
LaRe2Rh: PBEsol geometry, SCAN.

a = 2.9083 Å, b = 4.6553 Å, c = 5.9147 Å
α = 98.81°, β = 90.00°, γ = 108.20°
Fractional coordinates of all 4 atoms:
Re 0.2472 0.4943 0.7768
La 0.7537 0.5075 0.2678
Re 0.9835 0.9671 0.9055
Rh 0.5156 0.0311 0.5498

Calculated values
**Space-group type**: Cm (8)
**ΔH_f (0 K)**: 1.25 eV per formula unit
**ΔE to the lowest computed polymorph**: 0.000 eV/atom



# 10
LaReRh2: PBEsol geometry, SCAN.

a = 2.8771 Å, b = 2.8771 Å, c = 8.1600 Å
α = 90.00°, β = 90.00°, γ = 90.00°
Fractional coordinates of all 4 atoms:
La 0.5000 0.5000 0.0000
Rh 0.0000 0.0000 0.2917
Re 0.5000 0.5000 0.5000
Rh 0.0000 0.0000 0.7083

Calculated values
**Space-group type**: P4/mmm (123)
**ΔH_f (0 K)**: -0.24 eV per formula unit
**ΔE to the lowest computed polymorph**: 0.000 eV/atom



# 11
LaReRh2: PBEsol geometry, SCAN.

a = 4.5730 Å, b = 4.5730 Å, c = 4.5730 Å
α = 60.00°, β = 60.00°, γ = 60.00°
Fractional coordinates of all 4 atoms:
La 0.5000 0.5000 0.5000
Re 0.7500 0.7500 0.7500
Rh 0.0000 0.0000 0.0000
Rh 0.2500 0.2500 0.2500

Calculated values
**Space-group type**: F-43m (216)
**ΔH_f (0 K)**: 1.50 eV per formula unit
**ΔE to the lowest computed polymorph**: 0.433 eV/atom



# 12
LaReRh: PBEsol geometry, SCAN.

a = 4.1856 Å, b = 4.1856 Å, c = 4.4513 Å
α = 90.00°, β = 90.00°, γ = 120.00°
Fractional coordinates of all 3 atoms:
La 0.0000 0.0000 0.0000
Re 0.6667 0.3333 0.5000
Rh 0.3333 0.6667 0.5000

Calculated values
**Space-group type**: P-6m2 (187)
**ΔH_f (0 K)**: -0.26 eV per formula unit



# 13
LaReRh2: PBEsol geometry, SCAN.

a = 4.1973 Å, b = 4.8846 Å, c = 4.1973 Å
α = 64.55°, β = 90.00°, γ = 115.45°
Fractional coordinates of all 4 atoms:
Rh 0.7500 0.5000 0.7500
La 0.5000 0.0000 0.5000
Rh 0.2500 0.5000 0.2500
Re 0.0000 0.0000 0.0000

Calculated values
**Space-group type**: I4/mmm (139)
**ΔH_f (0 K)**: 1.09 eV per formula unit
**ΔE to the lowest computed polymorph**: 0.331 eV/atom



# 14
LaReSb2Rh: PBEsol geometry, SCAN.

a = 5.0052 Å, b = 5.0052 Å, c = 5.0765 Å
α = 90.00°, β = 90.00°, γ = 90.00°
Last column: magnetic moment on the atom in μB.
Fractional coordinates of all 5 atoms:
Rh 0.0000 0.0000 0.0000  -0.06
Sb 0.5000 0.0000 0.0000  -0.05
Re 0.5000 0.5000 0.5000  2.15
La 0.0000 0.0000 0.5000  -0.03
Sb 0.0000 0.5000 0.0000  -0.05

Calculated values
**Space-group type**: P4/mmm (123)
**Formation energy from raw total energies**: 0.629 eV/atom



# 15
LaRe2SbRh: PBEsol geometry, SCAN.

a = 4.7581 Å, b = 4.7581 Å, c = 5.6574 Å
α = 90.00°, β = 90.00°, γ = 90.00°
Fractional coordinates of all 5 atoms:
Rh 0.5000 0.5000 0.5000
Sb 0.0000 0.0000 0.0000
Re 0.5000 0.0000 0.0000
La 0.0000 0.0000 0.5000
Re 0.0000 0.5000 0.0000

Calculated values
**Space-group type**: P4/mmm (123)
**Formation energy from raw total energies**: 2.017 eV/atom



# 16
LaRe2Ru: PBEsol geometry, SCAN.

a = 4.5746 Å, b = 4.5746 Å, c = 4.5666 Å
α = 120.06°, β = 120.06°, γ = 90.00°
Fractional coordinates of all 4 atoms:
La 0.0000 0.0000 0.0000
Ru 0.5000 0.5000 0.0000
Re 0.2500 0.7500 0.5000
Re 0.7500 0.2500 0.5000

Calculated values
**Space-group type**: I4/mmm (139)
**ΔH_f (0 K)**: 3.56 eV per formula unit
**ΔE to the lowest computed polymorph**: 0.215 eV/atom



# 17
LaRe2Ru: PBEsol geometry, SCAN.

a = 2.7945 Å, b = 5.1908 Å, c = 5.4934 Å
α = 114.72°, β = 98.83°, γ = 102.32°
Fractional coordinates of all 4 atoms:
La 0.5000 0.0000 0.0000
Re 0.5000 0.5000 0.5000
Ru 0.0000 0.5000 0.0000
Re 0.0000 0.0000 0.5000

Calculated values
**Space-group type**: C2/m (12)
**ΔH_f (0 K)**: 2.70 eV per formula unit
**ΔE to the lowest computed polymorph**: 0.000 eV/atom



# 18
LaTlRe2Ru: PBEsol geometry, SCAN.

a = 4.6995 Å, b = 4.9037 Å, c = 4.9037 Å
α = 90.00°, β = 90.00°, γ = 90.00°
Last column: magnetic moment on the atom in μB.
Fractional coordinates of all 5 atoms:
La 0.0000 0.0000 0.0000  0.01
Re 0.0000 0.5000 0.0000  0.87
Tl 0.5000 0.5000 0.5000  0.05
Re 0.0000 0.0000 0.5000  0.87
Ru 0.5000 0.0000 0.0000  0.36

Calculated values
**Space-group type**: P4/mmm (123)
**ΔH_f (0 K)**: 13.53 eV per formula unit



# 19
LaReS2: PBEsol geometry, SCAN.

a = 3.2640 Å, b = 3.2640 Å, c = 8.9287 Å
α = 79.47°, β = 79.47°, γ = 60.00°
Fractional coordinates of all 4 atoms:
Re 0.0000 0.0000 0.0000
S 0.0847 0.0847 0.7458
S 0.9153 0.9153 0.2542
La 0.5000 0.5000 0.5000

Calculated values
**Space-group type**: R-3m (166)
**Formation energy from raw total energies**: -0.040 eV/atom



# 20
La3ReS: PBEsol geometry, SCAN.

a = 5.4027 Å, b = 5.4027 Å, c = 5.4027 Å
α = 90.00°, β = 90.00°, γ = 90.00°
Fractional coordinates of all 5 atoms:
Re 0.0000 0.0000 0.0000
S 0.5000 0.5000 0.5000
La 0.5000 0.0000 0.0000
La 0.0000 0.0000 0.5000
La 0.0000 0.5000 0.0000

Calculated values
**Space-group type**: Pm-3m (221)
**Formation energy from raw total energies**: -0.210 eV/atom